Version i
4
Lattice="0.0000 3.4249 3.4249 3.4249 0.0000 3.4249 3.4249 3.4249 0.0000" Properties=species:S:1:pos:R:3 comment="NpPaS2 | the Alexandria database | PBE | optimized geometry" space_group="Fm-3m, No. 225" total_magnetization_mub_per_fu=7.00 dos_at_fermi_per_ev_fu=12.2 pbc="T T T"
Np 0.0000 0.0000 0.0000
Pa 3.4249 3.4249 3.4249
S 1.7124 1.7124 1.7124
S 5.1373 5.1373 5.1373

***

Version ii
4
Lattice="1.9476 1.1244 6.3205 -1.9476 1.1244 6.3205 0.0000 -2.2489 6.3205" Properties=species:S:1:pos:R:3 comment="NpPaS2 | the Alexandria database | PBE | optimized geometry" space_group="R-3m, No. 166" total_magnetization_mub_per_fu=3.97 dos_at_fermi_per_ev_fu=4.4 pbc="T T T"
Np 0.0000 0.0000 0.0000
Pa 0.0000 0.0000 9.4808
S 0.0000 0.0000 4.7790
S 0.0000 0.0000 14.1825

***

Version iii
4
Lattice="3.4115 0.0000 0.0000 0.0000 3.4115 0.0000 0.0000 0.0000 6.8438" Properties=species:S:1:pos:R:3 comment="NpPaS2 | the Alexandria database | PBE | optimized geometry" space_group="P4/mmm, No. 123" total_magnetization_mub_per_fu=6.16 dos_at_fermi_per_ev_fu=9.6 pbc="T T T"
Np 0.0000 0.0000 0.0000
Pa 0.0000 0.0000 3.4219
S 1.7058 1.7058 1.7555
S 1.7058 1.7058 5.0882

***

version ii is the most stable structure; the next one sits 38.3 kJ/mol of atoms above it.

***

Version i
11
Lattice="4.5757 0.0000 0.0000 0.0000 4.5757 0.0000 0.0000 0.0000 12.8916" Properties=species:S:1:pos:R:3 comment="Np2Pa2S7 | the Alexandria database | PBE | optimized geometry" space_group="P-4m2, No. 115" total_magnetization_mub_per_fu=10.02 dos_at_fermi_per_ev_fu=29.0 pbc="T T T"
Np 0.0000 2.2878 1.6939
Np 2.2878 0.0000 11.1977
Pa 0.0000 2.2878 8.1061
Pa 2.2878 0.0000 4.7854
S 0.0000 0.0000 3.1169
S 0.0000 0.0000 6.4458
S 0.0000 0.0000 9.7747
S 2.2878 2.2878 0.0000
S 2.2878 2.2878 3.2836
S 2.2878 2.2878 6.4458
S 2.2878 2.2878 9.6080

***

Version ii
11
Lattice="-1.9549 6.9554 4.2530 1.9549 -6.9554 4.2530 1.9549 6.9554 -4.2530" Properties=species:S:1:pos:R:3 comment="Np2Pa2S7 | the Alexandria database | PBE | optimized geometry" space_group="Imm2, No. 44" total_magnetization_mub_per_fu=9.60 dos_at_fermi_per_ev_fu=21.4 pbc="T T T"
Np 0.0000 0.0000 0.0000
Np 0.0000 6.9554 0.4229
Pa 1.9549 -3.3606 2.6119
Pa 1.9549 3.3606 2.6119
S 1.9549 0.0000 1.9579
S 0.0000 2.5625 0.9325
S 1.9549 5.0026 -0.0294
S 0.0000 1.9527 4.2236
S 0.0000 5.3945 2.8011
S 0.0000 11.3482 0.9325
S 0.0000 8.5163 2.8011

***

version ii is the most stable structure; the next one sits 11.9 kJ/mol of atoms above it.

***

Version i
6
Lattice="4.4019 -4.4611 0.0000 4.4019 4.4611 0.0000 0.0000 0.0000 4.1753" Properties=species:S:1:pos:R:3 comment="NpPaS4 | the Alexandria database | PBE | optimized geometry" space_group="Cmmm, No. 65" total_magnetization_mub_per_fu=4.00 dos_at_fermi_per_ev_fu=9.6 pbc="T T T"
Np 0.0000 0.0000 0.0000
Pa 4.4019 0.0000 2.0876
S 1.7388 0.0000 2.0876
S 4.4019 1.6858 0.0000
S 4.4019 -1.6858 0.0000
S 7.0650 0.0000 2.0876

***

Version ii
6
Lattice="4.5791 0.0000 0.0000 0.0000 4.5791 0.0000 0.0000 0.0000 6.4890" Properties=species:S:1:pos:R:3 comment="NpPaS4 | the Alexandria database | PBE | optimized geometry" space_group="P4/mmm, No. 123" total_magnetization_mub_per_fu=4.01 dos_at_fermi_per_ev_fu=14.2 pbc="T T T"
Np 0.0000 0.0000 0.0000
Pa 2.2895 2.2895 3.2445
S 0.0000 2.2895 1.6472
S 0.0000 2.2895 4.8418
S 2.2895 0.0000 1.6472
S 2.2895 0.0000 4.8418

***

version ii is the most stable structure; the next one sits 10.9 kJ/mol of atoms above it.

***

Version i
14
Lattice="-4.1010 4.1010 4.0957 4.1010 -4.1010 4.0957 4.1010 4.1010 -4.0957" Properties=species:S:1:pos:R:3 comment="NpPa2S4 | the Alexandria database | PBE | optimized geometry" space_group="I-42d, No. 122" total_magnetization_mub_per_fu=3.63 dos_at_fermi_per_ev_fu=11.5 pbc="T T T"
Np 0.0000 0.0000 0.0000
Np 0.0000 4.1010 2.0479
Pa 2.0505 -1.0307 3.0718
Pa 3.0703 2.0505 1.0239
Pa 2.0505 5.1318 -1.0239
Pa 1.0307 2.0505 5.1196
S 3.4696 2.6784 -1.6537
S 5.5237 0.6314 0.3942
S 0.6314 2.6784 -0.3942
S 0.6314 1.4227 2.4421
S 1.4227 -0.6314 5.7494
S 3.4696 1.4227 3.7015
S 2.6784 4.7325 1.6537
S -1.4227 3.4696 4.4899

***

Version ii
14
Lattice="1.9028 -6.4439 0.0000 1.9028 6.4439 0.0000 0.0000 0.0000 12.8696" Properties=species:S:1:pos:R:3 comment="NpPa2S4 | the Alexandria database | PBE | optimized geometry" space_group="Cmcm, No. 63" total_magnetization_mub_per_fu=5.20 dos_at_fermi_per_ev_fu=17.9 pbc="T T T"
Np 1.9028 4.9203 9.6522
Np 1.9028 -4.9203 3.2174
Pa 1.9028 1.7737 7.2540
Pa 1.9028 1.7737 12.0504
Pa 1.9028 -1.7737 0.8192
Pa 1.9028 -1.7737 5.6156
S 0.0000 0.0000 0.0000
S 0.0000 0.0000 6.4348
S 1.9028 2.9235 1.7038
S 1.9028 2.9235 4.7310
S 1.9028 0.5034 9.6522
S 1.9028 -0.5034 3.2174
S 1.9028 -2.9235 8.1386
S 1.9028 -2.9235 11.1658

***

version i is the most stable structure; the next one sits 9.4 kJ/mol of atoms above it.